# 1
The following is a DFT calculation (PBEsol) of a relaxed structure of CaMnAs3.

Unit cell a=5.162 b=5.162 c=5.162 alpha=90.00 beta=90.00 gamma=90.00
Element x y z (fractional)
Ca: 0.000 0.000 0.000
Mn: 0.500 0.500 0.500
As: 0.000 0.000 0.500
As: 0.000 0.500 0.000
As: 0.500 0.000 0.000

Properties
- Formation energy: 1.09 eV per atom
- Fermi-level density of states: 3.20 states/eV per cell
- Total magnetization: 0.956 μB per atom
- Uncorrected energy: -21.7 eV/cell

# 2
The following is a DFT calculation (PBEsol) of a relaxed structure of SiTePt2.

Unit cell a=4.384 b=4.384 c=3.563 alpha=90.00 beta=90.00 gamma=90.00
Element x y z (fractional)
Si: 0.000 0.000 0.000
Te: 0.500 0.500 0.000
Pt: 0.000 0.500 0.500
Pt: 0.500 0.000 0.500

Properties
- Fermi-level density of states: 2.13 states/eV per cell
- Total magnetization: 0.000 μB per atom
- Polymorph energy (0 for the lowest one): 397 meV/atom
- Uncorrected energy: -22.9 eV/cell

# 3
The following is a DFT calculation (PBEsol) of a relaxed structure of CrRh3.

Unit cell a=4.566 b=4.566 c=4.566 alpha=131.74 beta=131.74 gamma=70.64
Element x y z (fractional)
Cr: 0.000 0.000 0.000
Rh: 0.250 0.750 0.500
Rh: 0.500 0.500 0.000
Rh: 0.750 0.250 0.500

Properties
- Formation energy: -0.07 eV per atom
- Fermi-level density of states: 4.58 states/eV per cell
- Total magnetization: 0.274 μB per atom
- Uncorrected energy: -34.9 eV/cell

# 4
The following is a DFT calculation (PBEsol) of a relaxed structure of SrCd2I2.

Unit cell a=10.605 b=10.605 c=10.605 alpha=157.99 beta=157.99 gamma=31.33
Element x y z (fractional)
Sr: 0.000 0.000 0.000
Cd: 0.250 0.750 0.500
Cd: 0.750 0.250 0.500
I: 0.408 0.408 0.000
I: 0.592 0.592 0.000

Properties
- Fermi-level density of states: 0.93 states/eV per cell
- Total magnetization: 0.000 μB per atom
- Uncorrected energy: -11.6 eV/cell